Entry 1:
The following is a DFT calculation (PBE) of a geometry-optimized Pm3PdBr structure.

## Properties
- Calculated total energy: -4.8743 eV per atom
- Formation energy (no corrections): -0.6508 eV/atom
- Volume: 30.65 A^3/atom
- Size of the total moment: 0.00 μB/f.u.

Cell: 3.918 10.099 7.746 Å, 90.00 90.00 90.00°
Fractional coordinates of all 10 atoms:
Pm1 0.250 0.438 0.175
Pm2 0.750 0.562 0.825
Pm3 0.250 0.062 0.175
Pm4 0.750 0.938 0.825
Pm5 0.250 0.250 0.739
Pm6 0.750 0.750 0.261
Pd1 0.750 0.250 0.998
Pd2 0.250 0.750 0.002
Br1 0.750 0.250 0.427
Br2 0.250 0.750 0.573


Entry 2:
The following is a DFT calculation (PBE) of a geometry-optimized Pm7PdBr12 structure.

## Properties
- Calculated total energy: -4.5208 eV per atom
- Formation energy (no corrections): -1.5947 eV/atom
- Volume: 34.68 A^3/atom
- Size of the total moment: 0.64 μB/f.u.

Cell: 9.477 9.477 9.477 Å, 107.76 107.76 107.76°
Site moments in Bohr magnetons follow the coordinates.
Fractional coordinates of all 20 atoms:
Pm1 0.966 0.676 0.886  0.02
Pm2 0.324 0.114 0.034  0.02
Pm3 0.114 0.034 0.324  0.02
Pm4 0.500 0.500 0.500  0.19
Pm5 0.886 0.966 0.676  0.02
Pm6 0.676 0.886 0.966  0.02
Pm7 0.034 0.324 0.114  0.02
Pd1 0.000 0.000 0.000  0.02
Br1 0.924 0.314 0.779  0.00
Br2 0.686 0.221 0.076  0.00
Br3 0.475 0.163 0.390  0.00
Br4 0.837 0.610 0.525  0.00
Br5 0.221 0.076 0.686  0.00
Br6 0.610 0.525 0.837  0.00
Br7 0.390 0.475 0.163  0.00
Br8 0.779 0.924 0.314  0.00
Br9 0.163 0.390 0.475  0.00
Br10 0.525 0.837 0.610  0.00
Br11 0.314 0.779 0.924  0.00
Br12 0.076 0.686 0.221  0.00


Entry 3:
The following is a DFT calculation (PBE) of a geometry-optimized Pm2PdBr2 structure.

## Properties
- Calculated total energy: -4.9162 eV per atom
- Formation energy (no corrections): -1.3083 eV/atom
- Volume: 32.36 A^3/atom
- Size of the total moment: 0.00 μB/f.u.

Cell: 4.106 4.106 11.334 Å, 79.56 79.56 60.00°
Fractional coordinates of all 5 atoms:
Pm1 0.615 0.615 0.154
Pm2 0.385 0.385 0.846
Pd1 0.000 0.000 0.000
Br1 0.224 0.224 0.329
Br2 0.776 0.776 0.671


Entry 4:
The following is a DFT calculation (PBE) of a geometry-optimized Pm2PdBr structure.

## Properties
- Calculated total energy: -4.9479 eV per atom
- Formation energy (no corrections): -0.8562 eV/atom
- Relative energy among the computed polymorphs: 0.1377 eV per atom
- Volume: 25.51 A^3/atom
- Size of the total moment: 0.00 μB/f.u.

Cell: 3.505 3.505 8.308 Å, 90.00 90.00 90.00°
Fractional coordinates of all 4 atoms:
Br1 0.500 0.500 0.500
Pd1 0.500 0.500 0.000
Pm1 0.000 0.000 0.781
Pm2 0.000 0.000 0.219


Entry 5:
The following is a DFT calculation (PBE) of a geometry-optimized PmPd2Br6 structure.

## Properties
- Calculated total energy: -3.6587 eV per atom
- Formation energy (no corrections): -0.8617 eV/atom
- Volume: 35.99 A^3/atom
- Size of the total moment: 0.00 μB/f.u.

Cell: 7.207 9.653 9.653 Å, 93.98 80.00 80.00°
Fractional coordinates of all 18 atoms:
Pm1 0.250 0.080 0.920
Pm2 0.750 0.920 0.080
Pd1 0.968 0.675 0.821
Pd2 0.532 0.179 0.325
Pd3 0.032 0.325 0.179
Pd4 0.468 0.821 0.675
Br1 0.239 0.666 0.616
Br2 0.261 0.384 0.334
Br3 0.761 0.334 0.384
Br4 0.739 0.616 0.666
Br5 0.774 0.965 0.365
Br6 0.726 0.635 0.035
Br7 0.226 0.035 0.635
Br8 0.274 0.365 0.965
Br9 0.155 0.796 0.990
Br10 0.345 0.010 0.204
Br11 0.845 0.204 0.010
Br12 0.655 0.990 0.796


Entry 6:
The following is a DFT calculation (PBE) of a geometry-optimized PmPdBr structure.

## Properties
- Calculated total energy: -5.1056 eV per atom
- Formation energy (no corrections): -1.2335 eV/atom
- Relative energy among the computed polymorphs: 0.0000 eV per atom
- Volume: 30.31 A^3/atom
- Size of the total moment: 0.00 μB/f.u.

Cell: 4.312 4.312 11.562 Å, 79.25 79.25 60.00°
Fractional coordinates of all 6 atoms:
Pm1 0.442 0.442 0.675
Pm2 0.558 0.558 0.325
Pd1 0.154 0.154 0.538
Pd2 0.846 0.846 0.462
Br1 0.721 0.721 0.836
Br2 0.279 0.279 0.164


Entry 7:
The following is a DFT calculation (PBE) of a geometry-optimized PmPdBr structure.

## Properties
- Calculated total energy: -4.7482 eV per atom
- Formation energy (no corrections): -0.8761 eV/atom
- Relative energy among the computed polymorphs: 0.3574 eV per atom
- Volume: 24.65 A^3/atom
- Size of the total moment: 0.00 μB/f.u.

Cell: 3.635 3.635 6.158 Å, 107.17 107.17 90.00°
Fractional coordinates of all 3 atoms:
Br1 0.281 0.281 0.562
Pd1 0.969 0.969 0.938
Pm1 0.600 0.600 0.200


Entry 8:
The following is a DFT calculation (PBE) of a geometry-optimized PmPdBr structure.

## Properties
- Calculated total energy: -5.1053 eV per atom
- Formation energy (no corrections): -1.2332 eV/atom
- Relative energy among the computed polymorphs: 0.0003 eV per atom
- Volume: 30.34 A^3/atom
- Size of the total moment: 0.00 μB/f.u.

Cell: 4.313 4.313 11.298 Å, 89.14 89.14 60.01°
Fractional coordinates of all 6 atoms:
Pm1 0.995 0.995 0.675
Pm2 0.005 0.005 0.325
Pd1 0.666 0.666 0.537
Pd2 0.334 0.334 0.463
Br1 0.676 0.676 0.164
Br2 0.324 0.324 0.836


Entry 9:
The following is a DFT calculation (PBE) of a geometry-optimized Pm2PdBr8 structure.

## Properties
- Calculated total energy: -3.9195 eV per atom
- Formation energy (no corrections): -1.3671 eV/atom
- Volume: 39.62 A^3/atom
- Size of the total moment: 0.00 μB/f.u.

Cell: 5.733 12.333 12.333 Å, 31.72 107.34 107.34°
Fractional coordinates of all 11 atoms:
Pm1 0.381 0.166 0.166
Pm2 0.619 0.834 0.834
Pd1 0.000 0.000 0.000
Br1 0.737 0.188 0.685
Br2 0.263 0.315 0.812
Br3 0.893 0.173 0.173
Br4 0.107 0.827 0.827
Br5 0.737 0.685 0.188
Br6 0.263 0.812 0.315
Br7 0.554 0.294 0.294
Br8 0.446 0.706 0.706


Entry 10:
The following is a DFT calculation (PBE) of a geometry-optimized Pm2PdBr structure.

## Properties
- Calculated total energy: -5.0856 eV per atom
- Formation energy (no corrections): -0.9939 eV/atom
- Relative energy among the computed polymorphs: 0.0000 eV per atom
- Volume: 29.25 A^3/atom
- Size of the total moment: 0.00 μB/f.u.

Cell: 4.188 4.187 8.074 Å, 90.04 105.00 120.00°
Fractional coordinates of all 4 atoms:
Pm1 0.490 0.987 0.252
Pm2 0.556 0.519 0.851
Pd1 0.023 0.253 0.052
Br1 0.024 0.753 0.552


Entry 11:
The following is a DFT calculation (PBE) of a geometry-optimized PmPd2Br8 structure.

## Properties
- Calculated total energy: -3.2422 eV per atom
- Formation energy (no corrections): -0.6495 eV/atom
- Volume: 37.68 A^3/atom
- Size of the total moment: 2.11 μB/f.u.

Cell: 7.258 7.863 7.863 Å, 97.43 76.11 76.11°
Site moments in Bohr magnetons follow the coordinates.
Fractional coordinates of all 11 atoms:
Pm1 0.000 0.000 0.000  -0.01
Pd1 0.386 0.149 0.149  0.55
Pd2 0.614 0.851 0.851  0.55
Br1 0.796 0.071 0.734  0.14
Br2 0.204 0.266 0.929  0.14
Br3 0.655 0.254 0.254  0.05
Br4 0.345 0.746 0.746  0.05
Br5 0.796 0.734 0.071  0.14
Br6 0.204 0.929 0.266  0.14
Br7 0.176 0.411 0.411  0.02
Br8 0.824 0.589 0.589  0.02


Entry 12:
The following is a DFT calculation (PBE) of a geometry-optimized Pm6PdRh2Br3 structure.

## Properties
- Calculated total energy: -5.5110 eV per atom
- Formation energy (no corrections): -1.0595 eV/atom
- Volume: 28.66 A^3/atom
- Size of the total moment: 0.00 μB/f.u.

Cell: 4.128 9.112 10.006 Å, 110.52 101.90 90.00°
Fractional coordinates of all 12 atoms:
Pm1 0.342 0.882 0.683
Pm2 0.680 0.553 0.360
Pm3 0.658 0.118 0.317
Pm4 0.014 0.227 0.028
Pm5 0.986 0.773 0.972
Pm6 0.320 0.447 0.640
Pd1 0.500 0.000 0.000
Rh1 0.834 0.668 0.668
Rh2 0.166 0.332 0.332
Br1 0.500 0.500 0.000
Br2 0.834 0.166 0.667
Br3 0.166 0.834 0.333


Entry 13:
The following is a DFT calculation (PBE) of a geometry-optimized Pm4PdRhBr2 structure.

## Properties
- Calculated total energy: -5.4068 eV per atom
- Formation energy (no corrections): -1.0452 eV/atom
- Volume: 28.85 A^3/atom
- Size of the total moment: 0.00 μB/f.u.

Cell: 4.141 8.123 7.186 Å, 72.71 90.00 90.00°
Fractional coordinates of all 8 atoms:
Pm1 0.000 0.698 0.758
Pm2 0.000 0.302 0.242
Pm3 0.500 0.697 0.273
Pm4 0.500 0.303 0.727
Pd1 0.500 0.500 0.000
Rh1 0.000 0.500 0.500
Br1 0.000 0.000 0.000
Br2 0.500 0.000 0.500


Entry 14:
The following is a DFT calculation (PBE) of a geometry-optimized Pm6PdRu2Br3 structure.

## Properties
- Calculated total energy: -5.6735 eV per atom
- Formation energy (no corrections): -0.9012 eV/atom
- Volume: 28.39 A^3/atom
- Size of the total moment: 0.00 μB/f.u.

Cell: 7.084 7.084 8.186 Å, 98.27 98.27 120.01°
Fractional coordinates of all 12 atoms:
Pm1 0.934 0.586 0.802
Pm2 0.717 0.717 0.197
Pm3 0.066 0.414 0.198
Pm4 0.586 0.934 0.802
Pm5 0.283 0.283 0.803
Pm6 0.414 0.066 0.198
Pd1 0.000 0.000 0.000
Ru1 0.333 0.667 0.000
Ru2 0.667 0.333 0.000
Br1 0.169 0.831 0.500
Br2 0.831 0.169 0.500
Br3 0.500 0.500 0.500


Entry 15:
The following is a DFT calculation (PBE) of a geometry-optimized Pm4PdSe2Br structure.

## Properties
- Calculated total energy: -5.4921 eV per atom
- Formation energy (no corrections): -1.3875 eV/atom
- Volume: 26.58 A^3/atom
- Size of the total moment: 0.00 μB/f.u.

Cell: 4.078 7.443 7.375 Å, 71.82 90.00 90.00°
Fractional coordinates of all 8 atoms:
Pm1 0.000 0.766 0.734
Pm2 0.000 0.234 0.266
Pm3 0.500 0.743 0.266
Pm4 0.500 0.257 0.734
Pd1 0.000 0.500 0.500
Se1 0.000 0.000 0.000
Se2 0.500 0.000 0.500
Br1 0.500 0.500 0.000


Entry 16:
The following is a DFT calculation (PBE) of a geometry-optimized Pm4SiPdBr2 structure.

## Properties
- Calculated total energy: -5.1123 eV per atom
- Formation energy (no corrections): -0.9918 eV/atom
- Volume: 28.22 A^3/atom
- Size of the total moment: 0.00 μB/f.u.

Cell: 4.136 7.582 7.550 Å, 107.51 90.00 90.00°
Fractional coordinates of all 8 atoms:
Pm1 0.500 0.234 0.208
Pm2 0.500 0.766 0.792
Pm3 0.000 0.266 0.784
Pm4 0.000 0.734 0.216
Si1 0.500 0.500 0.000
Pd1 0.000 0.000 0.000
Br1 0.500 0.000 0.500
Br2 0.000 0.500 0.500


Entry 17:
The following is a DFT calculation (PBE) of a geometry-optimized Pr2PdBr2 structure.

## Properties
- Calculated total energy: -4.9130 eV per atom
- Formation energy (no corrections): -1.2935 eV/atom
- Volume: 33.93 A^3/atom
- Size of the total moment: 0.00 μB/f.u.

Cell: 4.179 4.179 11.472 Å, 79.51 79.51 60.00°
Fractional coordinates of all 5 atoms:
Pr1 0.615 0.615 0.154
Pr2 0.385 0.385 0.846
Pd1 0.000 0.000 0.000
Br1 0.224 0.224 0.328
Br2 0.776 0.776 0.672


Entry 18:
The following is a DFT calculation (PBE) of a geometry-optimized Pr3PdBr3 structure.

## Properties
- Calculated total energy: -4.8281 eV per atom
- Formation energy (no corrections): -1.3209 eV/atom
- Volume: 32.62 A^3/atom
- Size of the total moment: 0.00 μB/f.u.

Cell: 10.587 10.587 10.587 Å, 109.47 109.47 109.47°
Fractional coordinates of all 28 atoms:
Pr1 0.974 0.487 0.237
Pr2 0.513 0.026 0.263
Pr3 0.250 0.013 0.487
Pr4 0.987 0.750 0.013
Pr5 0.987 0.237 0.474
Pr6 0.763 0.013 0.026
Pr7 0.737 0.474 0.487
Pr8 0.763 0.750 0.237
Pr9 0.526 0.263 0.013
Pr10 0.250 0.237 0.263
Pr11 0.737 0.263 0.750
Pr12 0.513 0.487 0.750
Pd1 0.750 0.500 0.000
Pd2 0.500 0.250 0.500
Pd3 0.750 0.250 0.250
Pd4 0.000 0.000 0.250
Br1 0.245 0.995 0.990
Br2 0.750 0.755 0.745
Br3 0.490 0.745 0.995
Br4 0.005 0.250 0.995
Br5 0.255 0.745 0.250
Br6 0.495 0.505 0.250
Br7 0.245 0.250 0.755
Br8 0.255 0.510 0.505
Br9 0.750 0.995 0.505
Br10 0.010 0.505 0.755
Br11 0.005 0.755 0.510
Br12 0.495 0.990 0.745


Entry 19:
The following is a DFT calculation (PBE) of a geometry-optimized Pr4Pd2Br5 structure.

## Properties
- Calculated total energy: -4.7209 eV per atom
- Formation energy (no corrections): -1.2784 eV/atom
- Volume: 37.81 A^3/atom
- Size of the total moment: 0.00 μB/f.u.

Cell: 3.984 8.567 12.410 Å, 84.15 99.24 90.00°
Fractional coordinates of all 11 atoms:
Pr1 0.662 0.535 0.324
Pr2 0.014 0.708 0.028
Pr3 0.338 0.465 0.676
Pr4 0.986 0.292 0.972
Pd1 0.556 0.462 0.111
Pd2 0.444 0.538 0.889
Br1 0.136 0.796 0.272
Br2 0.864 0.204 0.728
Br3 0.222 0.318 0.445
Br4 0.500 0.000 0.000
Br5 0.778 0.682 0.555


Entry 20:
The following is a DFT calculation (PBE) of a geometry-optimized Pr6PdBr8 structure.

## Properties
- Calculated total energy: -4.5677 eV per atom
- Formation energy (no corrections): -1.4175 eV/atom
- Volume: 34.47 A^3/atom
- Size of the total moment: 0.00 μB/f.u.

Cell: 7.392 7.392 11.729 Å, 71.63 71.63 60.00°
Fractional coordinates of all 15 atoms:
Pr1 0.947 0.633 0.159
Pr2 0.739 0.053 0.841
Pr3 0.367 0.739 0.841
Pr4 0.633 0.261 0.159
Pr5 0.261 0.947 0.159
Pr6 0.053 0.367 0.841
Pd1 0.000 0.000 0.000
Br1 0.768 0.448 0.675
Br2 0.892 0.232 0.325
Br3 0.552 0.892 0.325
Br4 0.333 0.333 0.000
Br5 0.667 0.667 0.000
Br6 0.448 0.108 0.675
Br7 0.108 0.768 0.675
Br8 0.232 0.552 0.325


Entry 21:
The following is a DFT calculation (PBE) of a geometry-optimized Pr4Pd2Br3 structure.

## Properties
- Calculated total energy: -4.9969 eV per atom
- Formation energy (no corrections): -1.1611 eV/atom
- Volume: 32.55 A^3/atom
- Size of the total moment: 0.00 μB/f.u.

Cell: 4.204 4.204 19.135 Å, 90.05 89.95 120.00°
Fractional coordinates of all 9 atoms:
Pr1 0.334 0.666 0.878
Pr2 0.999 0.001 0.296
Pr3 0.001 0.999 0.704
Pr4 0.666 0.334 0.122
Pd1 0.667 0.333 0.796
Pd2 0.333 0.667 0.204
Br1 0.666 0.334 0.397
Br2 0.000 0.000 0.000
Br3 0.334 0.666 0.603


Entry 22:
The following is a DFT calculation (PBE) of a geometry-optimized Pr6PdPt2Br3 structure.

## Properties
- Calculated total energy: -5.4035 eV per atom
- Formation energy (no corrections): -1.1560 eV/atom
- Volume: 30.62 A^3/atom
- Size of the total moment: 0.00 μB/f.u.

Cell: 4.269 9.208 10.146 Å, 109.07 102.14 90.00°
Fractional coordinates of all 12 atoms:
Pr1 0.344 0.889 0.689
Pr2 0.679 0.554 0.357
Pr3 0.656 0.111 0.311
Pr4 0.012 0.225 0.024
Pr5 0.988 0.775 0.976
Pr6 0.321 0.446 0.643
Pd1 0.500 0.000 0.000
Pt1 0.834 0.669 0.668
Pt2 0.166 0.331 0.332
Br1 0.500 0.500 0.000
Br2 0.834 0.168 0.667
Br3 0.166 0.832 0.333